Model one:
# Ba2WAu2

A geometry-optimized Ba2WAu2 structure (PBE, the Alexandria database).

abc: 6.426 6.426 8.199
angles: 90.00 90.00 90.00
Space group I4/mmm (No. 139)
Symmetry-distinct sites (fractional):
Ba 0.000 0.500 0.250 [4 per cell]
W 0.000 0.000 0.000 [2 per cell]
Au 0.000 0.000 0.332 [4 per cell]

Computed properties:
* calculated density: 8.4 g cm⁻³
* total moment: 6.84 μB/cell



Model two:
# Ba2WAu2

A geometry-optimized Ba2WAu2 structure (PBE, the Alexandria database).

abc: 7.447 7.447 5.180
angles: 90.00 90.00 90.00
Space group P4/mbm (No. 127)
Symmetry-distinct sites (fractional):
Ba 0.173 0.327 0.000 [4 per cell]
W 0.000 0.000 0.500 [2 per cell]
Au 0.145 0.645 0.500 [4 per cell]

Computed properties:
* calculated density: 9.9 g cm⁻³
* total moment: 4.04 μB/cell



Which structure wins on stability? model two wins.



Model one:
# Ba3YAu

A geometry-optimized Ba3YAu structure (PBE, the Alexandria database).

abc: 6.415 6.415 6.415
angles: 90.00 90.00 90.00
Space group Pm-3m (No. 221)
Symmetry-distinct sites (fractional):
Ba 0.000 0.000 0.500 [3 per cell]
Y 0.000 0.000 0.000 [1 per cell]
Au 0.500 0.500 0.500 [1 per cell]

Computed properties:
* calculated density: 4.4 g cm⁻³
* total moment: 0.00 μB/cell



Model two:
# Ba3YAu

A geometry-optimized Ba3YAu structure (PBE, the Alexandria database).

abc: 6.366 6.366 6.366
angles: 90.00 90.00 90.00
Space group Pm-3m (No. 221)
Symmetry-distinct sites (fractional):
Ba 0.000 0.000 0.500 [3 per cell]
Y 0.500 0.500 0.500 [1 per cell]
Au 0.000 0.000 0.000 [1 per cell]

Computed properties:
* calculated density: 4.5 g cm⁻³
* total moment: 0.61 μB/cell



Which structure wins on stability? model two wins.



Model one:
# Ba2YAu

A geometry-optimized Ba2YAu structure (PBE, the Alexandria database).

abc: 8.448 8.448 8.448
angles: 90.00 90.00 90.00
Space group Fm-3m (No. 225)
Symmetry-distinct sites (fractional):
Ba 0.250 0.250 0.250 [8 per cell]
Y 0.000 0.000 0.000 [4 per cell]
Au 0.000 0.000 0.500 [4 per cell]

Computed properties:
* calculated density: 6.2 g cm⁻³
* total moment: 0.00 μB/cell



Model two:
# Ba2YAu

A geometry-optimized Ba2YAu structure (PBE, the Alexandria database).

abc: 4.461 5.514 5.670
angles: 90.00 90.00 90.00
Space group Pmmm (No. 47)
Symmetry-distinct sites (fractional):
Ba 0.000 0.000 0.000 [1 per cell]
Ba 0.500 0.500 0.000 [1 per cell]
Y 0.000 0.500 0.500 [1 per cell]
Au 0.500 0.000 0.500 [1 per cell]

Computed properties:
* calculated density: 6.7 g cm⁻³
* total moment: 0.00 μB/cell



Model three:
# Ba2YAu

A geometry-optimized Ba2YAu structure (PBE, the Alexandria database).

abc: 8.092 8.092 8.092
angles: 90.00 90.00 90.00
Space group F-43m (No. 216)
Symmetry-distinct sites (fractional):
Ba 0.000 0.000 0.000 [4 per cell]
Ba 0.250 0.250 0.250 [4 per cell]
Y 0.250 0.250 0.750 [4 per cell]
Au 0.000 0.000 0.500 [4 per cell]

Computed properties:
* calculated density: 7.0 g cm⁻³
* total moment: 0.01 μB/cell



Which structure wins on stability? model two wins.